1.
{"formula": "K2NaNdBr6", "functional": "meta-GGA SCAN", "state": "single point on PBEsol structure", "lattice": [[0.000, 5.648, 5.648], [5.648, 0.000, 5.648], [5.648, 5.648, 0.000]], "species": ["K", "K", "Na", "Nd", "Br", "Br", "Br", "Br", "Br", "Br"], "fractional_positions": [[0.250, 0.250, 0.250], [0.750, 0.750, 0.750], [0.000, 0.000, 0.000], [0.500, 0.500, 0.500], [0.249, 0.249, 0.751], [0.249, 0.751, 0.249], [0.249, 0.751, 0.751], [0.751, 0.249, 0.249], [0.751, 0.249, 0.751], [0.751, 0.751, 0.249]], "sg": "Fm-3m (225)", "energy_ev_per_atom": -20.048, "m_tot_mub_per_atom": 0.00, "e_form_raw_ev_per_atom": -1.93}


2.
{"formula": "KNaPbBr2", "functional": "meta-GGA SCAN", "state": "single point on PBEsol structure", "lattice": [[5.941, 0.000, 0.000], [0.000, 5.941, 0.000], [0.000, 0.000, 6.596]], "species": ["K", "Na", "Pb", "Br", "Br"], "fractional_positions": [[0.000, 0.000, 0.000], [0.500, 0.500, 0.000], [0.000, 0.000, 0.500], [0.000, 0.500, 0.500], [0.500, 0.000, 0.500]], "sg": "P4/mmm (123)", "energy_ev_per_atom": -25.911, "m_tot_mub_per_atom": 0.00, "e_form_raw_ev_per_atom": -0.46}


3.
{"formula": "KNa2SnBr", "functional": "meta-GGA SCAN", "state": "single point on PBEsol structure", "lattice": [[6.549, 0.000, 0.000], [0.000, 6.549, 0.000], [0.000, 0.000, 6.002]], "species": ["K", "Na", "Na", "Sn", "Br"], "fractional_positions": [[0.000, 0.000, 0.000], [0.000, 0.500, 0.000], [0.500, 0.000, 0.000], [0.000, 0.000, 0.500], [0.500, 0.500, 0.500]], "sg": "P4/mmm (123)", "energy_ev_per_atom": -14.096, "m_tot_mub_per_atom": 0.40, "e_form_raw_ev_per_atom": 0.33}


4.
{"formula": "KSrNbBr2", "functional": "meta-GGA SCAN", "state": "single point on PBEsol structure", "lattice": [[5.616, 0.000, 0.000], [0.000, 5.616, 0.000], [0.000, 0.000, 6.573]], "species": ["K", "Sr", "Nb", "Br", "Br"], "fractional_positions": [[0.000, 0.000, 0.000], [0.000, 0.000, 0.500], [0.500, 0.500, 0.500], [0.000, 0.500, 0.000], [0.500, 0.000, 0.000]], "sg": "P4/mmm (123)", "energy_ev_per_atom": -20.233, "m_tot_mub_per_atom": 0.92, "e_form_raw_ev_per_atom": 0.30}


5.
{"formula": "KNbTl2Br", "functional": "meta-GGA SCAN", "state": "single point on PBEsol structure", "lattice": [[5.985, 0.000, 0.000], [0.000, 5.985, 0.000], [0.000, 0.000, 4.896]], "species": ["K", "Nb", "Tl", "Tl", "Br"], "fractional_positions": [[0.000, 0.000, 0.000], [0.500, 0.500, 0.000], [0.000, 0.500, 0.500], [0.500, 0.000, 0.500], [0.500, 0.500, 0.500]], "sg": "P4/mmm (123)", "energy_ev_per_atom": -40.603, "m_tot_mub_per_atom": 0.56, "e_form_raw_ev_per_atom": 0.52}


6.
{"formula": "K2NdBr5", "functional": "meta-GGA SCAN", "state": "single point on PBEsol structure", "lattice": [[13.217, 0.000, 0.000], [0.000, 9.060, 0.000], [0.000, 0.000, 8.365]], "species": ["K", "K", "K", "K", "K", "K", "K", "K", "Nd", "Nd", "Nd", "Nd", "Br", "Br", "Br", "Br", "Br", "Br", "Br", "Br", "Br", "Br", "Br", "Br", "Br", "Br", "Br", "Br", "Br", "Br", "Br", "Br"], "fractional_positions": [[0.173, 0.005, 0.057], [0.173, 0.495, 0.057], [0.327, 0.505, 0.557], [0.327, 0.995, 0.557], [0.673, 0.005, 0.443], [0.673, 0.495, 0.443], [0.827, 0.505, 0.943], [0.827, 0.995, 0.943], [0.007, 0.250, 0.580], [0.493, 0.750, 0.080], [0.507, 0.250, 0.920], [0.993, 0.750, 0.420], [0.007, 0.250, 0.930], [0.077, 0.546, 0.669], [0.077, 0.954, 0.669], [0.183, 0.250, 0.372], [0.208, 0.750, 0.337], [0.292, 0.250, 0.837], [0.317, 0.750, 0.872], [0.423, 0.046, 0.169], [0.423, 0.454, 0.169], [0.493, 0.750, 0.430], [0.507, 0.250, 0.570], [0.577, 0.546, 0.831], [0.577, 0.954, 0.831], [0.683, 0.250, 0.128], [0.708, 0.750, 0.163], [0.792, 0.250, 0.663], [0.817, 0.750, 0.628], [0.923, 0.046, 0.331], [0.923, 0.454, 0.331], [0.993, 0.750, 0.070]], "sg": "Pnma (62)", "energy_ev_per_atom": -21.774, "m_tot_mub_per_atom": 0.00, "e_form_raw_ev_per_atom": -2.08}


Please write out number 3 again, unchanged.
{"formula": "KNa2SnBr", "functional": "meta-GGA SCAN", "state": "single point on PBEsol structure", "lattice": [[6.549, 0.000, 0.000], [0.000, 6.549, 0.000], [0.000, 0.000, 6.002]], "species": ["K", "Na", "Na", "Sn", "Br"], "fractional_positions": [[0.000, 0.000, 0.000], [0.000, 0.500, 0.000], [0.500, 0.000, 0.000], [0.000, 0.000, 0.500], [0.500, 0.500, 0.500]], "sg": "P4/mmm (123)", "energy_ev_per_atom": -14.096, "m_tot_mub_per_atom": 0.40, "e_form_raw_ev_per_atom": 0.33}